1.
9
Lattice="4.779 0.000 -0.183 0.000 6.784 0.000 -2.102 -3.392 7.264" Properties=species:S:1:pos:R:3 comment="Zr6TlHg2, optimized geometry, DFT PBE" formation_energy_ev_per_fu=3.11 sg=C2/m dft_energy_ev_per_fu=-51.15 pbc="T T T"
Zr 0.097 1.714 2.404
Zr 2.580 -1.679 4.677
Zr 2.580 1.679 4.677
Zr 2.390 1.731 -0.091
Zr 0.097 5.071 2.404
Zr 2.390 5.053 -0.091
Tl 0.000 0.000 0.000
Hg 2.488 3.392 2.319
Hg 0.190 0.000 4.762


2.
7
Lattice="-3.040 0.062 -3.705 -1.770 -4.140 4.483 -2.603 7.399 2.260" Properties=species:S:1:pos:R:3 comment="Sr3Sb2Au2, optimized geometry, DFT PBE" sg=C2/m raw_formation_energy_kj_per_mol_fu=-578.7 dft_energy_ev_per_fu=-25.84 pbc="T T T"
Sr -3.089 -0.143 2.532
Sr -4.323 3.464 0.505
Sr -1.520 0.031 -1.852
Sb -6.247 1.198 2.045
Sb -1.166 2.123 0.992
Au -3.743 -2.088 -0.064
Au -3.670 5.409 3.101


3.
9
Lattice="-2.542 2.010 2.628 -5.758 1.299 -6.561 -0.566 -7.252 4.997" Properties=species:S:1:pos:R:3 comment="Sm6In2Bi, optimized geometry, DFT PBE" formation_energy_ev_per_fu=-3.65 sg=P-62m dft_energy_ev_per_fu=-41.33 pbc="T T T"
Sm -4.755 1.791 -2.656
Sm -3.768 -1.346 0.697
Sm -1.614 -3.384 4.338
Sm -1.608 0.363 -1.832
Sm -4.559 -4.292 -1.127
Sm -5.916 -0.726 -5.166
In -2.296 -4.401 1.145
In -4.028 -1.553 -2.708
Bi -1.271 1.005 1.314


4.
5
Lattice="4.882 0.000 0.000 0.000 4.833 0.000 0.000 0.000 4.882" Properties=species:S:1:pos:R:3 comment="Ta2InMoPt, optimized geometry, DFT PBE" formation_energy_ev_per_fu=5.87 sg=P4/mmm dft_energy_ev_per_fu=-37.44 pbc="T T T"
Mo 0.000 2.417 0.000
In 2.441 2.417 2.441
Pt 0.000 0.000 0.000
Ta 0.000 0.000 2.441
Ta 2.441 0.000 0.000


5.
4
Lattice="3.774 0.000 0.000 1.887 3.269 0.000 1.887 1.090 10.614" Properties=species:S:1:pos:R:3 comment="Sm2HoIr, optimized geometry, DFT PBE" formation_energy_ev_per_fu=-0.21 sg=R-3m polymorph_energy_mev_per_atom=466 dft_energy_ev_per_fu=-23.09 pbc="T T T"
Ir 3.774 2.179 5.307
Ho 0.000 0.000 0.000
Sm 1.887 1.090 7.052
Sm 5.661 3.269 3.562


6.
12
Lattice="3.728 0.000 0.000 0.000 7.712 0.407 0.000 -2.711 9.719" Properties=species:S:1:pos:R:3 comment="Tb3CSeS, optimized geometry, DFT PBE" sg=P2_1/m raw_formation_energy_kj_per_mol_fu=-660.8 dft_energy_ev_per_fu=-37.58 pbc="T T T"
Tb 0.932 4.676 5.734
Tb 2.796 6.439 1.369
Tb 2.796 3.317 1.582
Tb 2.796 0.324 4.392
Tb 0.932 1.684 8.544
Tb 0.932 -1.438 8.757
C 0.932 4.945 1.083
C 2.796 0.056 9.043
Se 2.796 4.102 7.999
Se 0.932 0.899 2.126
S 0.932 -0.429 6.144
S 2.796 5.430 3.982